1.
{"formula": "Pm4PuSe4", "functional": "GGA-PBE", "state": "relaxed", "lattice": [[-2.526, 5.033, 1.753], [0.681, 1.352, 7.023], [4.324, 5.726, -0.286]], "species": ["Pm", "Pm", "Pm", "Pm", "Pu", "Se", "Se", "Se", "Se"], "fractional_positions": [[0.601, 0.601, 0.197], [0.399, 0.399, 0.803], [0.203, 0.197, 0.398], [0.797, 0.803, 0.602], [0.000, 0.000, 0.000], [0.904, 0.396, 0.796], [0.096, 0.604, 0.204], [0.300, 0.797, 0.604], [0.700, 0.203, 0.396]], "e_tot_ev_per_fu": -60.78, "raw_formation_energy_ev_per_atom": -1.5006, "crystal_system": "tetragonal", "volume_a3_per_atom": 28.1}


2.
{"formula": "Pm5PuSe6", "functional": "GGA-PBE", "state": "relaxed", "lattice": [[-4.174, -3.472, -4.839], [-2.012, -6.400, 2.713], [-6.113, -0.537, 3.850]], "species": ["Pu", "Se", "Se", "Se", "Se", "Se", "Se", "Pm", "Pm", "Pm", "Pm", "Pm"], "fractional_positions": [[0.000, 0.000, 0.000], [0.752, 0.083, 0.329], [0.248, 0.588, 0.329], [0.250, 0.247, 0.000], [0.750, 0.753, 0.000], [0.752, 0.412, 0.671], [0.248, 0.917, 0.671], [0.500, 0.170, 0.660], [0.000, 0.333, 0.335], [0.500, 0.500, 0.000], [0.000, 0.667, 0.665], [0.500, 0.830, 0.340]], "e_tot_ev_per_fu": -80.56, "raw_formation_energy_ev_per_atom": -1.7975, "crystal_system": "monoclinic", "volume_a3_per_atom": 26.0}


3.
{"formula": "Pm2Pu3Se8", "functional": "GGA-PBE", "state": "relaxed", "lattice": [[6.996, 0.000, -0.932], [0.000, 8.285, 0.000], [-3.690, -4.142, 7.453]], "species": ["Pm", "Pm", "Pu", "Pu", "Pu", "Se", "Se", "Se", "Se", "Se", "Se", "Se", "Se"], "fractional_positions": [[0.188, 0.262, 0.525], [0.812, 0.738, 0.475], [0.500, 0.000, 0.000], [0.000, 0.258, 0.000], [0.000, 0.742, 0.000], [0.688, 0.885, 0.770], [0.312, 0.115, 0.230], [0.684, 0.384, 0.769], [0.316, 0.616, 0.231], [0.165, 0.114, 0.755], [0.165, 0.641, 0.755], [0.835, 0.359, 0.245], [0.835, 0.886, 0.245]], "e_tot_ev_per_fu": -100.10, "raw_formation_energy_ev_per_atom": -1.5176, "crystal_system": "monoclinic", "volume_a3_per_atom": 31.0}